1.
PrNdGd4: optimized geometry, PBE.

Cell: 6.690 6.690 6.690 Å, 60.00 60.00 60.00°
Element x y z (fractional)
Pr: 0.000 0.000 0.000
Nd: 0.250 0.250 0.250
Gd: 0.125 0.625 0.625
Gd: 0.625 0.125 0.625
Gd: 0.625 0.625 0.125
Gd: 0.625 0.625 0.625

## Properties
- electronic total energy (eV/atom) = -10.73
- formation enthalpy at 0 K (kJ per mole of atoms) = 24.3
- space group = No. 216
- crystal system = cubic

***

2.
Pr2NdGd: optimized geometry, PBE.

Cell: 5.198 5.198 5.190 Å, 90.00 90.00 90.00°
Element x y z (fractional)
Pr: 0.000 0.500 0.000
Pr: 0.500 0.000 0.000
Nd: 0.000 0.000 0.500
Gd: 0.500 0.500 0.500

## Properties
- electronic total energy (eV/atom) = -7.09
- formation enthalpy at 0 K (kJ per mole of atoms) = 0.9
- space group = No. 123
- crystal system = tetragonal
- energy relative to the lowest polymorph listed for this composition (eV/f.u.) = 0.000

***

3.
PrNd2Gd: optimized geometry, PBE.

Cell: 12.869 12.869 12.869 Å, 16.02 16.02 16.02°
Element x y z (fractional)
Pr: 0.000 0.000 0.000
Nd: 0.412 0.412 0.412
Nd: 0.588 0.588 0.588
Gd: 0.500 0.500 0.500

## Properties
- electronic total energy (eV/atom) = -6.94
- formation enthalpy at 0 K (kJ per mole of atoms) = 15.5
- space group = No. 166
- crystal system = trigonal
- energy relative to the lowest polymorph listed for this composition (eV/f.u.) = 0.605

***

4.
PrNdGd: optimized geometry, PBE.

Cell: 8.106 8.106 8.106 Å, 153.75 153.75 37.46°
Element x y z (fractional)
Pr: 0.000 0.000 0.000
Nd: 0.668 0.668 0.000
Gd: 0.333 0.333 0.000

## Properties
- electronic total energy (eV/atom) = -7.86
- formation enthalpy at 0 K (kJ per mole of atoms) = 1.1
- space group = No. 107
- crystal system = tetragonal
- energy relative to the lowest polymorph listed for this composition (eV/f.u.) = 0.000

***

5.
Pr2NdGd: optimized geometry, PBE.

Cell: 5.841 5.841 5.841 Å, 60.00 60.00 60.00°
Element x y z (fractional)
Pr: 0.250 0.250 0.250
Pr: 0.750 0.750 0.750
Nd: 0.000 0.000 0.000
Gd: 0.500 0.500 0.500

## Properties
- electronic total energy (eV/atom) = -6.99
- formation enthalpy at 0 K (kJ per mole of atoms) = 10.9
- space group = No. 225
- crystal system = cubic
- energy relative to the lowest polymorph listed for this composition (eV/f.u.) = 0.416

***

6.
PrNdGdSc: optimized geometry, PBE.

Cell: 5.656 5.656 5.656 Å, 60.00 60.00 60.00°
Element x y z (fractional)
Pr: 0.000 0.000 0.000
Nd: 0.500 0.500 0.500
Gd: 0.250 0.250 0.250
Sc: 0.750 0.750 0.750

## Properties
- electronic total energy (eV/atom) = -7.38
- formation enthalpy at 0 K (kJ per mole of atoms) = 10.2
- space group = No. 216
- crystal system = cubic

***

7.
PrNdSmGd: optimized geometry, PBE.

Cell: 5.809 5.809 5.809 Å, 60.00 60.00 60.00°
Element x y z (fractional)
Pr: 0.000 0.000 0.000
Nd: 0.500 0.500 0.500
Sm: 0.250 0.250 0.250
Gd: 0.750 0.750 0.750

## Properties
- electronic total energy (eV/atom) = -6.97
- formation enthalpy at 0 K (kJ per mole of atoms) = 11.1
- space group = No. 216
- crystal system = cubic

***

8.
PrNdGdSn: optimized geometry, PBE.

Cell: 5.559 5.559 5.559 Å, 60.00 60.00 60.00°
Element x y z (fractional)
Pr: 0.000 0.000 0.000
Nd: 0.250 0.250 0.250
Gd: 0.500 0.500 0.500
Sn: 0.750 0.750 0.750

## Properties
- electronic total energy (eV/atom) = -7.16
- formation enthalpy at 0 K (kJ per mole of atoms) = -24.6
- space group = No. 216
- crystal system = cubic

***

9.
PrNdGdTh: optimized geometry, PBE.

Cell: 5.770 5.770 5.770 Å, 60.00 60.00 60.00°
Element x y z (fractional)
Pr: 0.000 0.000 0.000
Nd: 0.250 0.250 0.250
Gd: 0.750 0.750 0.750
Th: 0.500 0.500 0.500

## Properties
- electronic total energy (eV/atom) = -7.59
- formation enthalpy at 0 K (kJ per mole of atoms) = 16.3
- space group = No. 216
- crystal system = cubic

***

10.
PrNdGdY: optimized geometry, PBE.

Cell: 5.789 5.789 5.789 Å, 60.00 60.00 60.00°
Element x y z (fractional)
Pr: 0.000 0.000 0.000
Nd: 0.500 0.500 0.500
Gd: 0.750 0.750 0.750
Y: 0.250 0.250 0.250

## Properties
- electronic total energy (eV/atom) = -7.42
- formation enthalpy at 0 K (kJ per mole of atoms) = 9.8
- space group = No. 216
- crystal system = cubic

***

11.
PrNdGdZn: optimized geometry, PBE.

Cell: 5.472 5.472 5.472 Å, 60.00 60.00 60.00°
Element x y z (fractional)
Pr: 0.000 0.000 0.000
Nd: 0.500 0.500 0.500
Gd: 0.250 0.250 0.250
Zn: 0.750 0.750 0.750

## Properties
- electronic total energy (eV/atom) = -6.20
- formation enthalpy at 0 K (kJ per mole of atoms) = 2.3
- space group = No. 216
- crystal system = cubic

***

12.
NdGdPt2: optimized geometry, PBE.

Cell: 3.569 3.569 7.135 Å, 90.00 90.00 90.00°
Element x y z (fractional)
Nd: 0.000 0.000 0.000
Gd: 0.000 0.000 0.500
Pt: 0.500 0.500 0.261
Pt: 0.500 0.500 0.739

## Properties
- electronic total energy (eV/atom) = -8.83
- formation enthalpy at 0 K (kJ per mole of atoms) = -105.9
- space group = No. 123
- crystal system = tetragonal
- energy relative to the lowest polymorph listed for this composition (eV/f.u.) = 0.000

***

13.
NdGdPt4: optimized geometry, PBE.

Cell: 5.486 5.486 5.486 Å, 60.00 60.00 60.00°
Element x y z (fractional)
Nd: 0.000 0.000 0.000
Gd: 0.750 0.750 0.750
Pt: 0.375 0.375 0.375
Pt: 0.375 0.375 0.874
Pt: 0.375 0.874 0.375
Pt: 0.874 0.375 0.375

## Properties
- electronic total energy (eV/atom) = -8.26
- formation enthalpy at 0 K (kJ per mole of atoms) = -105.0
- space group = No. 216
- crystal system = cubic

***

14.
NdGdPt2: optimized geometry, PBE.

Cell: 7.197 7.197 7.197 Å, 33.52 33.52 33.52°
Element x y z (fractional)
Nd: 0.000 0.000 0.000
Gd: 0.500 0.500 0.500
Pt: 0.247 0.247 0.247
Pt: 0.753 0.753 0.753

## Properties
- electronic total energy (eV/atom) = -8.81
- formation enthalpy at 0 K (kJ per mole of atoms) = -104.3
- space group = No. 166
- crystal system = trigonal
- energy relative to the lowest polymorph listed for this composition (eV/f.u.) = 0.066

***

15.
NdGdPt2: optimized geometry, PBE.

Cell: 5.049 5.049 5.049 Å, 60.00 60.00 60.00°
Element x y z (fractional)
Nd: 0.000 0.000 0.000
Gd: 0.500 0.500 0.500
Pt: 0.250 0.250 0.250
Pt: 0.750 0.750 0.750

## Properties
- electronic total energy (eV/atom) = -8.83
- formation enthalpy at 0 K (kJ per mole of atoms) = -105.6
- space group = No. 225
- crystal system = cubic
- energy relative to the lowest polymorph listed for this composition (eV/f.u.) = 0.011

***

16.
NdGd3Pt: optimized geometry, PBE.

Cell: 5.546 5.546 5.546 Å, 90.00 90.00 90.00°
Element x y z (fractional)
Nd: 0.000 0.000 0.000
Gd: 0.000 0.500 0.500
Gd: 0.500 0.000 0.500
Gd: 0.500 0.500 0.000
Pt: 0.500 0.500 0.500

## Properties
- electronic total energy (eV/atom) = -10.96
- formation enthalpy at 0 K (kJ per mole of atoms) = -33.7
- space group = No. 221
- crystal system = cubic

***

17.
NdGd2Pu: optimized geometry, PBE.

Cell: 3.568 3.568 10.081 Å, 90.00 90.00 90.00°
Element x y z (fractional)
Nd: 0.000 0.000 0.000
Gd: 0.500 0.500 0.259
Gd: 0.500 0.500 0.741
Pu: 0.000 0.000 0.500

## Properties
- electronic total energy (eV/atom) = -11.71
- formation enthalpy at 0 K (kJ per mole of atoms) = 10.1
- space group = No. 123
- crystal system = tetragonal
- energy relative to the lowest polymorph listed for this composition (eV/f.u.) = 0.000

***

18.
NdGdPu2: optimized geometry, PBE.

Cell: 4.894 4.894 5.061 Å, 90.00 90.00 90.00°
Element x y z (fractional)
Nd: 0.000 0.000 0.000
Gd: 0.500 0.500 0.000
Pu: 0.000 0.500 0.500
Pu: 0.500 0.000 0.500

## Properties
- electronic total energy (eV/atom) = -11.66
- formation enthalpy at 0 K (kJ per mole of atoms) = 20.6
- space group = No. 123
- crystal system = tetragonal

***

19.
Nd2GdPu: optimized geometry, PBE.

Cell: 5.062 5.062 5.051 Å, 90.00 90.00 90.00°
Element x y z (fractional)
Nd: 0.000 0.500 0.000
Nd: 0.500 0.000 0.000
Gd: 0.000 0.000 0.500
Pu: 0.500 0.500 0.500

## Properties
- electronic total energy (eV/atom) = -9.34
- formation enthalpy at 0 K (kJ per mole of atoms) = 14.3
- space group = No. 123
- crystal system = tetragonal
- energy relative to the lowest polymorph listed for this composition (eV/f.u.) = 0.000

***

20.
NdGd2Pu: optimized geometry, PBE.

Cell: 5.649 5.649 5.649 Å, 60.00 60.00 60.00°
Element x y z (fractional)
Nd: 0.000 0.000 0.000
Gd: 0.250 0.250 0.250
Gd: 0.750 0.750 0.750
Pu: 0.500 0.500 0.500

## Properties
- electronic total energy (eV/atom) = -11.60
- formation enthalpy at 0 K (kJ per mole of atoms) = 20.8
- space group = No. 225
- crystal system = cubic
- energy relative to the lowest polymorph listed for this composition (eV/f.u.) = 0.442